(1)
This record from Alexandria via LeMat-Bulk describes Ta3Ag after structural relaxation. The functional is PBE.

The structure in extended XYZ format:
```
4
Lattice="3.380 0.000 0.000 0.000 3.380 0.000 0.000 0.000 6.367" Properties=species:S:1:pos:R:3 pbc="T T T"
Ta 1.690 1.690 4.678
Ta 1.690 1.690 1.689
Ta 0.000 0.000 3.183
Ag 0.000 0.000 0.000
```

Output
Space group: P4/mmm
Energy (eV per atom): -9.39
Calculated formation energy (meV per atom): 211.0
Calculated density (Mg/m³): 14.86
D(E_F) (states/eV per atom): 0.86

=====

(2)
This record from Alexandria via LeMat-Bulk describes Ta3Ag after structural relaxation. The functional is PBE.

The structure in extended XYZ format:
```
16
Lattice="-3.668 -1.986 -3.102 6.415 -0.405 -7.327 1.514 -5.326 1.620" Properties=species:S:1:pos:R:3 pbc="T T T"
Ag -1.297 -3.913 -4.161
Ag 4.071 -6.019 -5.828
Ag 5.558 -3.804 -4.648
Ag 0.190 -1.698 -2.982
Ta -2.490 -2.128 -2.147
Ta 4.950 -1.107 -5.330
Ta -0.689 -6.610 -3.479
Ta 4.532 -5.227 -8.625
Ta 0.634 -2.325 -5.715
Ta 1.408 -5.029 -5.057
Ta 3.440 -3.241 -6.534
Ta 0.821 -4.476 -2.276
Ta 3.627 -5.392 -3.094
Ta 2.853 -2.687 -3.753
Ta -0.271 -2.490 -0.184
Ta 6.751 -5.589 -6.662
```

Output
Space group: Pnma
Energy (eV per atom): -9.29
Calculated formation energy (meV per atom): 313.1
Calculated density (Mg/m³): 14.79
D(E_F) (states/eV per atom): 0.97

=====

(3)
This record from Alexandria via LeMat-Bulk describes TaAg after structural relaxation. The functional is PBE.

The structure in extended XYZ format:
```
6
Lattice="-4.339 -0.655 3.821 -2.534 -2.854 4.392 2.146 3.221 5.621" Properties=species:S:1:pos:R:3 pbc="T T T"
Ag -3.631 -1.268 6.596
Ag 0.003 0.015 0.048
Ag -3.100 -0.156 9.202
Ta -1.551 -0.072 4.626
Ta 0.045 2.010 7.600
Ta -5.158 -1.345 11.127
```

Output
Space group: Cm
Energy (eV per atom): -7.01
Calculated formation energy (meV per atom): 340.1
Calculated density (Mg/m³): 13.36
D(E_F) (states/eV per atom): 0.65

=====

Which of these has the highest calculated density? number 1

=====

The highest calculated density belongs to which entry? number 1

=====

Which of these has the highest calculated density? number 1